No. 1
First-principles (PBE-GGA) data for a relaxed CrTcPt2 crystal, as listed in the Alexandria database.

Calculated values
- Energy above the most stable polymorph in this dataset: 30 meV per atom
- Formation energy: -0.158 eV/atom
- Fermi-level density of states: 1.20 states/eV/atom
- Space-group type: No. 139

Unit cell a=4.8068 b=4.8068 c=4.8068 alpha=133.20 beta=133.20 gamma=68.34
Last column: nearest neighbours and their distance in Å.
Atoms (fractional coordinates):
Pt  0.5000  0.5000  0.0000  4 Pt 2.70, 4 Tc 2.76, 4 Cr 2.76
Pt  0.0000  0.0000  0.0000  4 Pt 2.70, 4 Cr 2.76, 4 Tc 2.76
Cr  0.7500  0.2500  0.5000  4 Tc 2.70, 8 Pt 2.76
Tc  0.2500  0.7500  0.5000  4 Cr 2.70, 8 Pt 2.76


No. 2
First-principles (PBE-GGA) data for a relaxed MnHgRuS crystal, as listed in the Alexandria database.

Calculated values
- Formation energy without anion corrections: 14.5 kJ/mol of atoms
- Energy above the most stable polymorph in this dataset: 67 meV per atom
- Fermi-level density of states: 0.39 states/eV/atom
- Space-group type: No. 156

Unit cell a=3.4013 b=3.4013 c=6.6691 alpha=90.00 beta=90.00 gamma=120.00
Last column: nearest neighbours and their distance in Å.
Atoms (fractional coordinates):
Mn  0.0000  0.0000  0.0847  3 S 2.29
S  0.6667  0.3333  0.2627  3 Ru 2.29, 3 Mn 2.29
Ru  0.3333  0.6667  0.4388  3 S 2.29
Hg  0.6667  0.3333  0.7647  3 Mn 2.90, 3 Ru 2.93


No. 3
First-principles (PBE-GGA) data for a relaxed Cs3TlCl6 crystal, as listed in the Alexandria database.

Calculated values
- Formation energy without anion corrections: -145.7 kJ/mol of atoms
- Energy above the most stable polymorph in this dataset: 0 meV per atom
- Fermi-level density of states: 0.00 states/eV/atom
- Space-group type: No. 14

Unit cell a=8.0828 b=8.4635 c=11.5464 alpha=90.00 beta=90.22 gamma=90.00
Last column: nearest neighbours and their distance in Å.
Atoms (fractional coordinates):
Cl  0.7369  0.1728  0.9526  1 Tl 2.64
Cs  0.4777  0.0644  0.2498  6 Cl 3.52-3.78
Tl  0.5000  0.5000  0.5000  6 Cl 2.64-2.67
Cl  0.1650  0.2604  0.0614  1 Tl 2.67
Cl  0.6037  0.4620  0.2850  1 Tl 2.64
Cl  0.7631  0.6728  0.5474  1 Tl 2.64
Cl  0.2631  0.8272  0.0474  1 Tl 2.64
Cl  0.3350  0.7604  0.4386  1 Tl 2.67
Cl  0.3963  0.5380  0.7150  1 Tl 2.64
Tl  0.0000  0.0000  0.0000  6 Cl 2.64-2.67
Cs  0.5223  0.9356  0.7502  6 Cl 3.52-3.78
Cl  0.8350  0.7396  0.9386  1 Tl 2.67
Cs  0.0000  0.0000  0.5000  6 Cl 3.41-3.46
Cs  0.9777  0.4356  0.7498  6 Cl 3.52-3.78
Cl  0.8963  0.9620  0.2150  1 Tl 2.64
Cl  0.1037  0.0380  0.7850  1 Tl 2.64
Cl  0.2369  0.3272  0.4526  1 Tl 2.64
Cs  0.0223  0.5644  0.2502  6 Cl 3.52-3.78
Cs  0.5000  0.5000  0.0000  6 Cl 3.41-3.46
Cl  0.6650  0.2396  0.5614  1 Tl 2.67


No. 4
First-principles (PBE-GGA) data for a relaxed DyPuHf2N4 crystal, as listed in the Alexandria database.

Calculated values
- Formation energy without anion corrections: -162.0 kJ/mol of atoms
- Fermi-level density of states: 1.00 states/eV/atom
- Space-group type: No. 10

Unit cell a=3.3149 b=5.8410 c=5.7310 alpha=70.90 beta=90.00 gamma=90.00
Last column: nearest neighbours and their distance in Å.
Atoms (fractional coordinates):
Hf  0.0000  0.0000  0.0000  6 N 2.28
N  0.0000  0.2240  0.2590  3 Hf 2.28, 1 Dy 2.44, 2 Pu 2.45
N  0.0000  0.7760  0.7410  3 Hf 2.28, 1 Dy 2.44, 2 Pu 2.45
N  0.5000  0.2235  0.7575  3 Hf 2.27-2.28, 2 Dy 2.44, 1 Pu 2.45
Pu  0.5000  0.5000  0.0000  6 N 2.45
N  0.5000  0.7765  0.2424  3 Hf 2.27-2.28, 2 Dy 2.44, 1 Pu 2.45
Dy  0.0000  0.5000  0.5000  6 N 2.44
Hf  0.5000  0.0000  0.5000  6 N 2.27-2.28


No. 5
First-principles (PBE-GGA) data for a relaxed TcNi2Au crystal, as listed in the Alexandria database.

Calculated values
- Energy above the most stable polymorph in this dataset: 216 meV per atom
- Formation energy: 0.260 eV/atom
- Fermi-level density of states: 0.78 states/eV/atom
- Space-group type: No. 225

Unit cell a=4.2388 b=4.2388 c=4.2388 alpha=60.00 beta=60.00 gamma=60.00
Last column: nearest neighbours and their distance in Å.
Atoms (fractional coordinates):
Au  0.5000  0.5000  0.5000  8 Ni 2.60
Ni  0.2500  0.2500  0.2500  4 Tc 2.60, 4 Au 2.60
Tc  0.0000  0.0000  0.0000  8 Ni 2.60
Ni  0.7500  0.7500  0.7500  4 Tc 2.60, 4 Au 2.60


No. 6
First-principles (PBE-GGA) data for a relaxed Rb3PPt2 crystal, as listed in the Alexandria database.

Calculated values
- Formation energy: -0.109 eV/atom
- Fermi-level density of states: 0.46 states/eV/atom
- Space-group type: No. 14

Unit cell a=8.2892 b=10.3088 c=11.5389 alpha=90.00 beta=113.35 gamma=90.00
Last column: nearest neighbours and their distance in Å.
Atoms (fractional coordinates):
Rb  0.7284  0.0974  0.9993  4 Pt 3.49-3.79, 2 P 3.67-3.84
P  0.9647  0.6168  0.8463  2 Pt 2.18
Pt  0.1636  0.1997  0.1501  1 P 2.18
Pt  0.8177  0.3748  0.2148  1 P 2.18
Rb  0.6184  0.4649  0.8794  2 Pt 3.29-3.67, 1 P 3.42
Rb  0.8816  0.9649  0.6206  2 Pt 3.29-3.67, 1 P 3.42
Pt  0.3364  0.6997  0.3499  1 P 2.18
Pt  0.3177  0.1252  0.7148  1 P 2.18
Rb  0.7716  0.5974  0.5007  4 Pt 3.49-3.79, 2 P 3.67-3.84
Rb  0.4136  0.8047  0.6507  4 Pt 3.34-3.54, 1 P 3.37
Rb  0.5864  0.1953  0.3493  4 Pt 3.34-3.54, 1 P 3.37
Rb  0.0864  0.3047  0.8493  4 Pt 3.34-3.54, 1 P 3.37
Pt  0.1823  0.6252  0.7852  1 P 2.18
P  0.5353  0.1168  0.6537  2 Pt 2.18
Rb  0.9136  0.6953  0.1507  4 Pt 3.34-3.54, 1 P 3.37
P  0.4647  0.8832  0.3463  2 Pt 2.18
Rb  0.2284  0.4026  0.4993  4 Pt 3.49-3.79, 2 P 3.67-3.84
Pt  0.6636  0.3003  0.6501  1 P 2.18
Rb  0.2716  0.9026  0.0007  4 Pt 3.49-3.79, 2 P 3.67-3.84
Pt  0.6823  0.8748  0.2852  1 P 2.18
Rb  0.3816  0.5351  0.1206  2 Pt 3.29-3.67, 1 P 3.42
Rb  0.1184  0.0351  0.3794  2 Pt 3.29-3.67, 1 P 3.42
Pt  0.8364  0.8003  0.8499  1 P 2.18
P  0.0353  0.3832  0.1537  2 Pt 2.18


No. 7
First-principles (PBE-GGA) data for a relaxed Cs2ScCuCl6 crystal, as listed in the Alexandria database.

Calculated values
- Formation energy without anion corrections: -169.3 kJ/mol of atoms
- Energy above the most stable polymorph in this dataset: 0 meV per atom
- Fermi-level density of states: 0.00 states/eV/atom
- Space-group type: No. 166

Unit cell a=7.3830 b=7.3830 c=12.7145 alpha=73.12 beta=73.12 gamma=60.00
Last column: nearest neighbours and their distance in Å.
Atoms (fractional coordinates):
Cl  0.1441  0.6154  0.6250  1 Sc 2.51, 1 Cu 2.55
Sc  0.5000  0.5000  0.5000  6 Cl 2.51
Cs  0.8752  0.8752  0.3745  12 Cl 3.68-3.75
Sc  0.0000  0.0000  0.0000  6 Cl 2.53
Cl  0.2025  0.2025  0.8794  1 Sc 2.53, 1 Cu 2.64
Cl  0.3846  0.8559  0.3750  1 Sc 2.51, 1 Cu 2.55
Cu  0.4147  0.4147  0.7558  6 Cl 2.55-2.64
Cl  0.7156  0.2025  0.8794  1 Sc 2.53, 1 Cu 2.64
Cl  0.7975  0.2844  0.1206  1 Sc 2.53, 1 Cu 2.64
Cl  0.8559  0.3846  0.3750  1 Sc 2.51, 1 Cu 2.55
Cl  0.6154  0.1441  0.6250  1 Sc 2.51, 1 Cu 2.55
Cl  0.7975  0.7975  0.1206  1 Sc 2.53, 1 Cu 2.64
Cs  0.1248  0.1248  0.6255  12 Cl 3.68-3.75
Cu  0.5853  0.5853  0.2442  6 Cl 2.55-2.64
Cl  0.3846  0.3846  0.3750  1 Sc 2.51, 1 Cu 2.55
Cs  0.7092  0.7092  0.8724  12 Cl 3.69-3.72
Cl  0.6154  0.6154  0.6250  1 Sc 2.51, 1 Cu 2.55
Cs  0.2908  0.2908  0.1277  12 Cl 3.69-3.72
Cl  0.2844  0.7975  0.1206  1 Sc 2.53, 1 Cu 2.64
Cl  0.2025  0.7156  0.8794  1 Sc 2.53, 1 Cu 2.64


No. 8
First-principles (PBE-GGA) data for a relaxed YFe2Sn2 crystal, as listed in the Alexandria database.

Calculated values
- Formation energy: -0.130 eV/atom
- Fermi-level density of states: 0.41 states/eV/atom
- Space-group type: No. 139

Unit cell a=4.1377 b=4.1377 c=6.6568 alpha=71.89 beta=71.89 gamma=90.00
Last column: nearest neighbours and their distance in Å.
Atoms (fractional coordinates):
Y  0.0000  0.0000  0.0000  8 Sn 3.25, 8 Fe 3.64
Sn  0.6176  0.6176  0.7647  4 Fe 2.60-2.61, 1 Sn 2.81
Fe  0.7500  0.2500  0.5000  4 Sn 2.60-2.61
Sn  0.3824  0.3824  0.2353  4 Fe 2.60-2.61, 1 Sn 2.81
Fe  0.2500  0.7500  0.5000  4 Sn 2.60-2.61


No. 9
First-principles (PBE-GGA) data for a relaxed ThAg2Au crystal, as listed in the Alexandria database.

Calculated values
- Energy above the most stable polymorph in this dataset: 107 meV per atom
- Formation energy: -0.179 eV/atom
- Fermi-level density of states: 0.86 states/eV/atom
- Space-group type: No. 225

Unit cell a=4.9895 b=4.9895 c=4.9895 alpha=60.00 beta=60.00 gamma=60.00
Last column: nearest neighbours and their distance in Å.
Atoms (fractional coordinates):
Th  0.0000  0.0000  0.0000  8 Ag 3.06
Ag  0.7500  0.7500  0.7500  4 Th 3.06, 4 Au 3.06
Au  0.5000  0.5000  0.5000  8 Ag 3.06
Ag  0.2500  0.2500  0.2500  4 Th 3.06, 4 Au 3.06


No. 10
First-principles (PBE-GGA) data for a relaxed Fe4Co crystal, as listed in the Alexandria database.

Calculated values
- Energy above the most stable polymorph in this dataset: 123 meV per atom
- Formation energy: 0.089 eV/atom
- Fermi-level density of states: 0.76 states/eV/atom
- Space-group type: No. 87

Unit cell a=4.3360 b=4.3360 c=4.3360 alpha=102.02 beta=102.02 gamma=125.69
Last column: nearest neighbours and their distance in Å.
Atoms (fractional coordinates):
Fe  0.3943  0.8014  0.1958  3 Co 2.41-2.64, 9 Fe 2.45-2.63
Fe  0.8014  0.6057  0.4071  3 Co 2.41-2.64, 9 Fe 2.45-2.63
Co  0.0000  0.0000  0.0000  12 Fe 2.41-2.64
Fe  0.1986  0.3943  0.5929  3 Co 2.41-2.64, 9 Fe 2.45-2.63
Fe  0.6057  0.1986  0.8042  3 Co 2.41-2.64, 9 Fe 2.45-2.63